Run one
The following is a PBE-GGA calculation of crystalline Pm3AgIr2 at its relaxed geometry, from Alexandria.

Density of states at the Fermi level   0.57 states/eV/atom

Cell and atoms, written as POSCAR:
```
Pm3AgIr2
1.0
2.5437 -7.4746 0.0000
2.5437 7.4746 0.0000
0.0000 0.0000 3.6272
Pm Ag Ir
3 1 2
Cartesian
0.0000 0.0000 0.0000 Pm
2.5437 2.6288 0.0000 Pm
2.5437 -2.6288 0.0000 Pm
2.5437 0.0000 1.8136 Ag
2.5437 5.0377 1.8136 Ir
2.5437 -5.0377 1.8136 Ir
```


Run two
The following is a PBE-GGA calculation of crystalline Pm3AgIr2 at its relaxed geometry, from Alexandria.

Density of states at the Fermi level   0.70 states/eV/atom

Cell and atoms, written as POSCAR:
```
Pm3AgIr2
1.0
3.5543 0.0000 0.0000
0.0000 3.5543 0.0000
0.0000 0.0000 11.1326
Pm Ag Ir
3 1 2
Cartesian
0.0000 0.0000 0.0000 Pm
0.0000 0.0000 3.4290 Pm
0.0000 0.0000 7.7035 Pm
1.7771 1.7771 5.5663 Ag
1.7771 1.7771 1.8057 Ir
1.7771 1.7771 9.3269 Ir
```


Of them, run one has the lowest stability.


Run one
The following is a PBE-GGA calculation of crystalline Pr5AgIr2 at its relaxed geometry, from Alexandria.

Density of states at the Fermi level   1.03 states/eV/atom

Cell and atoms, written as POSCAR:
```
Pr5AgIr2
1.0
-4.0302 4.0302 6.9635
4.0302 -4.0302 6.9635
4.0302 4.0302 -6.9635
Pr Ag Ir
10 2 4
Cartesian
0.0000 0.0000 0.0000 Pr
5.3326 1.3024 -1.8607 Pr
1.3024 2.7278 -1.8607 Pr
5.3326 1.3024 1.8607 Pr
1.3024 2.7278 1.8607 Pr
0.0000 0.0000 6.9635 Pr
2.7278 1.3024 5.1027 Pr
-1.3024 2.7278 5.1027 Pr
2.7278 1.3024 8.8242 Pr
-1.3024 2.7278 8.8242 Pr
0.0000 0.0000 3.4817 Ag
0.0000 0.0000 10.4452 Ag
2.9208 1.1094 0.0000 Ir
2.9208 -1.1094 6.9635 Ir
1.1094 5.1396 0.0000 Ir
1.1094 2.9208 6.9635 Ir
```


Run two
The following is a PBE-GGA calculation of crystalline Pr5AgIr2 at its relaxed geometry, from Alexandria.

Density of states at the Fermi level   0.68 states/eV/atom

Cell and atoms, written as POSCAR:
```
Pr5AgIr2
1.0
2.9459 -6.4775 0.0000
2.9459 6.4775 0.0000
0.0000 0.0000 14.4094
Pr Ag Ir
10 2 4
Cartesian
2.9459 5.7739 8.8582 Pr
2.9459 5.7739 12.7559 Pr
2.9459 3.4210 3.6024 Pr
2.9459 2.0389 7.9267 Pr
2.9459 2.0389 13.6874 Pr
2.9459 -2.0389 0.7220 Pr
2.9459 -2.0389 6.4827 Pr
2.9459 -3.4210 10.8071 Pr
2.9459 -5.7739 1.6535 Pr
2.9459 -5.7739 5.5512 Pr
2.9459 3.3308 10.8071 Ag
2.9459 -3.3308 3.6024 Ag
2.9459 4.4908 0.8624 Ir
2.9459 4.4908 6.3423 Ir
2.9459 -4.4908 8.0671 Ir
2.9459 -4.4908 13.5470 Ir
```


Of them, run two has the lowest stability.


Run one
The following is a PBE-GGA calculation of crystalline Pr3AgIr at its relaxed geometry, from Alexandria.

Density of states at the Fermi level   0.89 states/eV/atom

Cell and atoms, written as POSCAR:
```
Pr3AgIr
1.0
7.6075 0.0000 0.0000
0.0000 4.8047 0.0000
0.0000 0.0000 15.7588
Pr Ag Ir
12 4 4
Cartesian
0.0955 1.2012 1.5659 Pr
1.0179 3.6035 7.0969 Pr
1.3901 1.2012 11.3366 Pr
2.4137 3.6035 3.4572 Pr
2.7858 1.2012 14.9763 Pr
3.7082 3.6035 9.4452 Pr
3.8993 1.2012 6.3135 Pr
4.8217 3.6035 0.7825 Pr
5.1938 1.2012 12.3016 Pr
6.2174 3.6035 4.4222 Pr
6.5896 1.2012 8.6618 Pr
7.5120 3.6035 14.1929 Pr
0.7963 1.2012 4.8935 Ag
3.0074 3.6035 12.7728 Ag
4.6001 1.2012 2.9859 Ag
6.8112 3.6035 10.8653 Ag
1.7616 3.6035 0.6931 Ir
2.0422 1.2012 8.5724 Ir
5.5653 3.6035 7.1863 Ir
5.8460 1.2012 15.0657 Ir
```


Run two
The following is a PBE-GGA calculation of crystalline Pr3AgIr at its relaxed geometry, from Alexandria.

Density of states at the Fermi level   0.92 states/eV/atom

Cell and atoms, written as POSCAR:
```
Pr3AgIr
1.0
4.1740 0.0000 0.0000
2.0650 6.4245 0.0000
2.0749 -0.1326 10.8371
Pr Ag Ir
6 2 2
Cartesian
1.0394 0.7444 3.0987 Pr
3.1127 1.8103 6.0628 Pr
5.1800 4.8363 10.7697 Pr
3.1340 1.4555 0.0675 Pr
5.2013 4.4816 4.7744 Pr
7.2746 5.5475 7.7384 Pr
3.1132 3.4340 2.7345 Ag
5.2008 2.8579 8.1026 Ag
3.1223 0.7551 8.9488 Ir
5.1917 5.5368 1.8883 Ir
```


Of them, run two has the lowest stability.


Run one
The following is a PBE-GGA calculation of crystalline Pr2AgIr at its relaxed geometry, from Alexandria.

Density of states at the Fermi level   0.93 states/eV/atom

Cell and atoms, written as POSCAR:
```
Pr2AgIr
1.0
3.6280 0.0000 0.0000
0.0000 3.6280 0.0000
0.0000 0.0000 7.6115
Pr Ag Ir
2 1 1
Cartesian
0.0000 0.0000 1.7118 Pr
0.0000 0.0000 5.8997 Pr
1.8140 1.8140 3.8057 Ag
1.8140 1.8140 0.0000 Ir
```


Run two
The following is a PBE-GGA calculation of crystalline Pr2AgIr at its relaxed geometry, from Alexandria.

Density of states at the Fermi level   0.42 states/eV/atom

Cell and atoms, written as POSCAR:
```
Pr2AgIr
1.0
2.1158 1.2215 7.4248
-2.1158 1.2215 7.4248
0.0000 -2.4431 7.4248
Pr Ag Ir
2 1 1
Cartesian
0.0000 0.0000 0.0000 Pr
0.0000 0.0000 4.3461 Pr
0.0000 0.0000 9.6354 Ag
0.0000 0.0000 13.2904 Ir
```


Run three
The following is a PBE-GGA calculation of crystalline Pr2AgIr at its relaxed geometry, from Alexandria.

Density of states at the Fermi level   0.64 states/eV/atom

Cell and atoms, written as POSCAR:
```
Pr2AgIr
1.0
6.0226 0.0000 0.0000
0.0000 4.5758 0.0000
-2.9620 0.0000 7.4671
Pr Ag Ir
4 2 2
Cartesian
-0.0361 1.1439 3.2930 Pr
-1.2733 1.1439 6.8702 Pr
4.3339 3.4318 0.5969 Pr
3.0967 3.4318 4.1742 Pr
1.3335 3.4318 1.5744 Ag
1.7271 1.1439 5.8928 Ag
-0.0955 3.4318 5.3069 Ir
3.1561 1.1439 2.1602 Ir
```


Of them, run two has the lowest stability.


Run one
The following is a PBE-GGA calculation of crystalline Pr2AgIr at its relaxed geometry, from Alexandria.

Density of states at the Fermi level   0.99 states/eV/atom

Cell and atoms, written as POSCAR:
```
Pr2AgIr
1.0
0.0000 3.6610 3.6610
3.6610 0.0000 3.6610
3.6610 3.6610 0.0000
Pr Ag Ir
2 1 1
Cartesian
1.8305 1.8305 1.8305 Pr
5.4915 5.4915 5.4915 Pr
0.0000 0.0000 0.0000 Ag
3.6610 3.6610 3.6610 Ir
```


Run two
The following is a PBE-GGA calculation of crystalline Pr2AgIr at its relaxed geometry, from Alexandria.

Density of states at the Fermi level   0.43 states/eV/atom

Cell and atoms, written as POSCAR:
```
Pr2AgIr
1.0
2.1171 1.2223 7.4060
-2.1171 1.2223 7.4060
0.0000 -2.4446 7.4060
Pr Ag Ir
2 1 1
Cartesian
0.0000 0.0000 5.2416 Pr
0.0000 0.0000 16.9763 Pr
0.0000 0.0000 0.0000 Ag
0.0000 0.0000 11.1089 Ir
```


Of them, run two has the lowest stability.


Run one
The following is a PBE-GGA calculation of crystalline Pr6Ag2Ir at its relaxed geometry, from Alexandria.

Density of states at the Fermi level   0.86 states/eV/atom

Cell and atoms, written as POSCAR:
```
Pr6Ag2Ir
1.0
-4.9594 5.1198 5.2044
4.9594 -5.1198 5.2044
4.9594 5.1198 -5.2044
Pr Ag Ir
12 4 2
Cartesian
4.9594 3.4325 -2.6006 Pr
2.6388 1.8587 0.0000 Pr
7.2801 1.8587 0.0000 Pr
3.3229 0.0000 2.8790 Pr
6.5960 0.0000 2.8790 Pr
0.0000 1.6874 2.6038 Pr
4.9594 3.4325 2.6006 Pr
-1.6366 5.1198 2.3254 Pr
1.6366 5.1198 2.3254 Pr
-2.3207 3.2611 5.2044 Pr
2.3207 3.2611 5.2044 Pr
0.0000 1.6874 7.8050 Pr
0.0000 3.6442 0.0000 Ag
3.6058 5.1198 0.0000 Ag
1.3537 0.0000 5.2044 Ag
0.0000 6.5955 0.0000 Ag
0.0000 0.0000 0.0000 Ir
4.9594 0.0000 0.0000 Ir
```


Run two
The following is a PBE-GGA calculation of crystalline Pr6Ag2Ir at its relaxed geometry, from Alexandria.

Density of states at the Fermi level   1.31 states/eV/atom

Cell and atoms, written as POSCAR:
```
Pr6Ag2Ir
1.0
6.8147 0.0000 0.0000
0.0000 7.8370 0.0000
-6.7085 0.0000 10.7130
Pr Ag Ir
12 4 2
Cartesian
-2.2662 1.4881 4.7103 Pr
-5.6204 2.4304 10.0668 Pr
-1.1118 5.3082 4.7499 Pr
-4.4660 6.4472 10.1064 Pr
0.9573 0.2291 2.6490 Pr
-2.3969 3.6893 8.0055 Pr
2.5031 4.1476 2.7076 Pr
-0.8512 7.6078 8.0641 Pr
4.5722 1.3897 0.6066 Pr
1.2179 2.5287 5.9631 Pr
5.7266 5.4066 0.6462 Pr
2.3723 6.3489 6.0028 Pr
-3.7890 0.8579 7.9485 Ag
-0.4348 3.0606 2.5920 Ag
0.5409 4.7764 8.1211 Ag
3.8952 6.9791 2.7645 Ag
0.0531 0.0000 5.3565 Ir
3.4073 3.9185 0.0000 Ir
```


Of them, run one has the lowest stability.


Run one
The following is a PBE-GGA calculation of crystalline Pr8Ag2Ir at its relaxed geometry, from Alexandria.

Density of states at the Fermi level   1.16 states/eV/atom

Cell and atoms, written as POSCAR:
```
Pr8Ag2Ir
1.0
3.9376 -8.2444 0.0000
3.9376 8.2444 0.0000
-3.4799 0.0000 5.3962
Pr Ag Ir
8 2 1
Cartesian
0.0000 0.0000 0.0000 Pr
2.3077 6.3309 2.5640 Pr
3.2258 1.9304 0.6062 Pr
1.3776 0.0000 3.3584 Pr
3.0592 3.1946 4.2123 Pr
3.2258 -1.9304 0.6062 Pr
2.3077 -6.3309 2.5640 Pr
3.0592 -3.1946 4.2123 Pr
0.8121 3.5948 1.5532 Ag
0.8121 -3.5948 1.5532 Ag
4.0453 0.0000 2.6107 Ir
```


Run two
The following is a PBE-GGA calculation of crystalline Pr8Ag2Ir at its relaxed geometry, from Alexandria.

Density of states at the Fermi level   1.17 states/eV/atom

Cell and atoms, written as POSCAR:
```
Pr8Ag2Ir
1.0
9.1710 -2.6362 0.0000
9.1710 2.6362 0.0000
-1.3996 0.0000 6.9653
Pr Ag Ir
8 2 1
Cartesian
0.0586 0.0000 1.9792 Pr
2.5724 0.0000 5.7430 Pr
5.5672 0.0000 3.6880 Pr
7.4683 0.0000 0.4329 Pr
9.4740 0.0000 6.5324 Pr
11.3751 0.0000 3.2773 Pr
14.3699 0.0000 1.2224 Pr
16.8838 0.0000 4.9861 Pr
3.1498 0.0000 1.6751 Ag
13.7925 0.0000 5.2902 Ag
8.4712 0.0000 3.4827 Ir
```


Of them, run one has the lowest stability.


Run one
The following is a PBE-GGA calculation of crystalline AgIrPt at its relaxed geometry, from Alexandria.

Density of states at the Fermi level   1.61 states/eV/atom

Cell and atoms, written as POSCAR:
```
AgIrPt
1.0
-1.3828 1.9946 4.3285
1.3828 -1.9946 4.3285
1.3828 1.9946 -4.3285
Ag Ir Pt
1 1 1
Cartesian
0.0000 0.0000 0.0000 Ag
0.0000 0.0000 5.8335 Ir
0.0000 0.0000 2.8051 Pt
```


Run two
The following is a PBE-GGA calculation of crystalline AgIrPt at its relaxed geometry, from Alexandria.

Density of states at the Fermi level   1.22 states/eV/atom

Cell and atoms, written as POSCAR:
```
AgIrPt
1.0
-1.3835 1.3835 6.2564
1.3835 -1.3835 6.2564
1.3835 1.3835 -6.2564
Ag Ir Pt
1 1 1
Cartesian
0.0000 0.0000 0.0000 Ag
0.0000 0.0000 8.4219 Ir
0.0000 0.0000 4.0582 Pt
```


Of them, run one has the lowest stability.


Run one
The following is a PBE-GGA calculation of crystalline AgIrPt at its relaxed geometry, from Alexandria.

Density of states at the Fermi level   1.85 states/eV/atom

Cell and atoms, written as POSCAR:
```
AgIrPt
1.0
0.0000 3.0586 3.0586
3.0586 0.0000 3.0586
3.0586 3.0586 0.0000
Ag Ir Pt
1 1 1
Cartesian
0.0000 0.0000 0.0000 Ag
1.5293 1.5293 1.5293 Ir
3.0586 3.0586 3.0586 Pt
```


Run two
The following is a PBE-GGA calculation of crystalline AgIrPt at its relaxed geometry, from Alexandria.

Density of states at the Fermi level   0.62 states/eV/atom

Cell and atoms, written as POSCAR:
```
AgIrPt
1.0
2.7861 0.0000 0.0000
0.0000 2.7861 0.0000
0.0000 0.0000 12.2634
Ag Ir Pt
2 2 2
Cartesian
0.6965 0.6965 1.1063 Ag
2.0896 2.0896 11.1571 Ag
0.6965 0.6965 5.2212 Ir
2.0896 2.0896 7.0422 Ir
0.6965 0.6965 8.9990 Pt
2.0896 2.0896 3.2645 Pt
```


Of them, run one has the lowest stability.


Run one
The following is a PBE-GGA calculation of crystalline AgIrPt at its relaxed geometry, from Alexandria.

Density of states at the Fermi level   1.30 states/eV/atom

Cell and atoms, written as POSCAR:
```
AgIrPt
1.0
2.7940 0.0000 0.0000
-1.3970 2.4197 0.0000
0.0000 0.0000 7.0239
Ag Ir Pt
1 1 1
Cartesian
0.0000 0.0000 0.0000 Ag
1.3970 0.8066 2.3940 Ir
0.0000 1.6131 4.6058 Pt
```


Run two
The following is a PBE-GGA calculation of crystalline AgIrPt at its relaxed geometry, from Alexandria.

Density of states at the Fermi level   1.64 states/eV/atom

Cell and atoms, written as POSCAR:
```
AgIrPt
1.0
0.0000 2.3915 7.3127
1.3751 0.0000 7.3127
1.3751 2.3915 0.0000
Ag Ir Pt
1 1 1
Cartesian
0.0000 0.0000 0.0000 Ag
1.3751 2.3915 9.7695 Ir
1.3751 2.3915 4.8206 Pt
```


Run three
The following is a PBE-GGA calculation of crystalline AgIrPt at its relaxed geometry, from Alexandria.

Density of states at the Fermi level   1.55 states/eV/atom

Cell and atoms, written as POSCAR:
```
AgIrPt
1.0
4.5240 0.0000 0.0000
-2.2620 3.9179 0.0000
0.0000 0.0000 2.7489
Ag Ir Pt
1 1 1
Cartesian
0.0000 0.0000 0.0000 Ag
2.2620 1.3060 1.3744 Ir
0.0000 2.6119 1.3744 Pt
```


Of them, run three has the lowest stability.


Run one
The following is a PBE-GGA calculation of crystalline AgIrPt2 at its relaxed geometry, from Alexandria.

Density of states at the Fermi level   1.26 states/eV/atom

Cell and atoms, written as POSCAR:
```
AgIrPt2
1.0
1.3934 0.8045 9.3687
-1.3934 0.8045 9.3687
0.0000 -1.6090 9.3687
Ag Ir Pt
1 1 2
Cartesian
0.0000 0.0000 0.0000 Ag
0.0000 0.0000 21.1330 Ir
0.0000 0.0000 6.9639 Pt
0.0000 0.0000 13.9964 Pt
```


Run two
The following is a PBE-GGA calculation of crystalline AgIrPt2 at its relaxed geometry, from Alexandria.

Density of states at the Fermi level   1.11 states/eV/atom

Cell and atoms, written as POSCAR:
```
AgIrPt2
1.0
1.3915 0.8034 9.3962
-1.3915 0.8034 9.3962
0.0000 -1.6068 9.3962
Ag Ir Pt
1 1 2
Cartesian
0.0000 0.0000 0.0000 Ag
0.0000 0.0000 14.0944 Ir
0.0000 0.0000 6.9566 Pt
0.0000 0.0000 21.2322 Pt
```


Run three
The following is a PBE-GGA calculation of crystalline AgIrPt2 at its relaxed geometry, from Alexandria.

Density of states at the Fermi level   1.44 states/eV/atom

Cell and atoms, written as POSCAR:
```
AgIrPt2
1.0
1.3777 -2.4034 0.0000
1.3777 2.4034 0.0000
0.0000 0.0000 9.6753
Ag Ir Pt
1 1 2
Cartesian
0.0000 0.0000 0.0000 Ag
0.0000 0.0000 4.8377 Ir
1.3777 0.0000 2.4935 Pt
1.3777 0.0000 7.1818 Pt
```


Of them, run three has the lowest stability.